Density functional theory data (PBE) for crystalline MoSe2Br at its relaxed geometry.

a = 6.886 Å, b = 6.886 Å, c = 6.998 Å
α = 60.53°, β = 60.53°, γ = 90.00°
Element x y z (fractional)
1 Mo 0.750 0.250 0.500
2 Br 0.250 0.750 0.500
3 Se 0.722 0.125 0.250
4 Se 0.028 0.625 0.250
5 Mo 0.000 0.000 0.000
6 Br 0.500 0.500 0.000
7 Se 0.375 0.278 0.750
8 Se 0.875 0.972 0.750

Values from the calculation:
- magnetization (μB/f.u.) = 0.0
- space-group type = I-42d, No. 122
- total energy (eV/cell) = -38.492
- ΔE to the lowest computed polymorph (meV/atom) = 338.6
- energy relative to the elements, uncorrected (eV/atom) = 0.057